Version one
Entry from Alexandria: a geometry-optimized BePBr structure (PBE-GGA).

a = 7.757 Å, b = 7.757 Å, c = 7.757 Å
α = 160.73°, β = 154.18°, γ = 32.42°
Fractional coordinates of all 3 atoms:
Be 0.000 0.000 0.000
P 0.436 0.436 0.000
Br 0.148 0.148 0.000

density of states at the Fermi level = 0.239 states/eV per atom
SG = Imm2, No. 44

---

Version two
Entry from Alexandria: a geometry-optimized BePBr structure (PBE-GGA).

a = 8.131 Å, b = 7.651 Å, c = 3.478 Å
α = 85.13°, β = 69.65°, γ = 25.22°
Fractional coordinates of all 3 atoms:
Be 0.000 0.000 0.000
P 0.383 0.383 0.617
Br 0.605 0.605 0.395

density of states at the Fermi level = 0.391 states/eV per atom
SG = Fmm2, No. 42

---

So which one wins? Going from most stable to least: version one, version two.

---

Version one
Entry from Alexandria: a geometry-optimized BePBr structure (PBE-GGA).

a = 3.708 Å, b = 3.708 Å, c = 4.754 Å
α = 90.00°, β = 90.00°, γ = 120.00°
Fractional coordinates of all 3 atoms:
Be 0.000 0.000 0.000
P 0.333 0.667 0.000
Br 0.667 0.333 0.500

density of states at the Fermi level = 0.587 states/eV per atom
SG = P-6m2, No. 187

---

Version two
Entry from Alexandria: a geometry-optimized BePBr structure (PBE-GGA).

a = 4.392 Å, b = 4.392 Å, c = 4.392 Å
α = 60.00°, β = 60.00°, γ = 60.00°
Fractional coordinates of all 3 atoms:
Be 0.000 0.000 0.000
P 0.500 0.500 0.500
Br 0.750 0.750 0.750

density of states at the Fermi level = 1.077 states/eV per atom
SG = F-43m, No. 216

---

Version three
Entry from Alexandria: a geometry-optimized BePBr structure (PBE-GGA).

a = 3.157 Å, b = 3.157 Å, c = 7.003 Å
α = 90.00°, β = 90.00°, γ = 120.00°
Fractional coordinates of all 3 atoms:
Be 0.000 0.000 0.000
P 0.333 0.667 0.756
Br 0.667 0.333 0.197

density of states at the Fermi level = 0.754 states/eV per atom
SG = P3m1, No. 156

---

So which one wins? Going from most stable to least: version three, version one, version two.

---

Version one
Entry from Alexandria: a geometry-optimized BePBr2 structure (PBE-GGA).

a = 4.816 Å, b = 4.816 Å, c = 4.816 Å
α = 60.00°, β = 60.00°, γ = 60.00°
Fractional coordinates of all 4 atoms:
Be 0.000 0.000 0.000
P 0.750 0.750 0.750
Br 0.250 0.250 0.250
Br 0.500 0.500 0.500

density of states at the Fermi level = 0.740 states/eV per atom
SG = F-43m, No. 216

---

Version two
Entry from Alexandria: a geometry-optimized BePBr2 structure (PBE-GGA).

a = 4.807 Å, b = 4.807 Å, c = 3.335 Å
α = 90.00°, β = 90.00°, γ = 90.00°
Fractional coordinates of all 4 atoms:
Be 0.000 0.000 0.000
P 0.500 0.500 0.000
Br 0.000 0.500 0.500
Br 0.500 0.000 0.500

density of states at the Fermi level = 0.650 states/eV per atom
SG = P4/mmm, No. 123

---

So which one wins? Going from most stable to least: version two, version one.

---

Version one
Entry from Alexandria: a geometry-optimized BePBr2 structure (PBE-GGA).

a = 6.670 Å, b = 6.670 Å, c = 5.206 Å
α = 102.73°, β = 102.73°, γ = 27.65°
Fractional coordinates of all 4 atoms:
Be 0.000 0.000 0.000
P 0.500 0.500 0.500
Br 0.375 0.375 0.824
Br 0.625 0.625 0.176

density of states at the Fermi level = 0.156 states/eV per atom
SG = C2/m, No. 12

---

Version two
Entry from Alexandria: a geometry-optimized BePBr2 structure (PBE-GGA).

a = 8.592 Å, b = 8.592 Å, c = 8.592 Å
α = 157.98°, β = 148.03°, γ = 39.16°
Fractional coordinates of all 4 atoms:
Be 0.000 0.000 0.000
P 0.898 0.398 0.500
Br 0.097 0.597 0.500
Br 0.353 0.353 0.000

density of states at the Fermi level = 0.254 states/eV per atom
SG = Imm2, No. 44

---

So which one wins? Going from most stable to least: version two, version one.

---

Version one
Entry from Alexandria: a geometry-optimized BePBr2 structure (PBE-GGA).

a = 5.183 Å, b = 4.877 Å, c = 4.836 Å
α = 64.50°, β = 58.13°, γ = 57.37°
Fractional coordinates of all 4 atoms:
Be 0.000 0.000 0.000
P 0.500 0.500 0.500
Br 0.000 0.500 0.500
Br 0.500 0.000 0.000

density of states at the Fermi level = 0.302 states/eV per atom
SG = Fmmm, No. 69

---

Version two
Entry from Alexandria: a geometry-optimized BePBr2 structure (PBE-GGA).

a = 7.336 Å, b = 7.336 Å, c = 7.336 Å
α = 151.19°, β = 151.19°, γ = 41.20°
Fractional coordinates of all 4 atoms:
Be 0.000 0.000 0.000
P 0.750 0.250 0.500
Br 0.250 0.750 0.500
Br 0.500 0.500 0.000

density of states at the Fermi level = 0.578 states/eV per atom
SG = I-4m2, No. 119

---

So which one wins? Going from most stable to least: version one, version two.

---

Version one
Entry from Alexandria: a geometry-optimized BePBr2 structure (PBE-GGA).

a = 4.437 Å, b = 3.273 Å, c = 7.005 Å
α = 90.00°, β = 98.01°, γ = 90.00°
Fractional coordinates of all 4 atoms:
Be 0.000 0.000 0.000
P 0.500 0.000 0.000
Br 0.171 0.500 0.252
Br 0.829 0.500 0.748

density of states at the Fermi level = 0.827 states/eV per atom
SG = P2/m, No. 10

---

Version two
Entry from Alexandria: a geometry-optimized BePBr2 structure (PBE-GGA).

a = 6.820 Å, b = 6.820 Å, c = 6.820 Å
α = 118.01°, β = 118.01°, γ = 93.47°
Fractional coordinates of all 8 atoms:
Be 0.000 0.000 0.000
Be 0.750 0.250 0.500
P 0.250 0.750 0.500
P 0.500 0.500 0.000
Br 0.375 0.231 0.356
Br 0.769 0.125 0.144
Br 0.875 0.019 0.644
Br 0.981 0.625 0.856

density of states at the Fermi level = 0.000 states/eV per atom
SG = I-42d, No. 122

---

Version three
Entry from Alexandria: a geometry-optimized BePBr2 structure (PBE-GGA).

a = 5.606 Å, b = 5.606 Å, c = 7.179 Å
α = 102.05°, β = 102.05°, γ = 33.36°
Fractional coordinates of all 4 atoms:
Be 0.000 0.000 0.000
P 0.356 0.356 0.836
Br 0.469 0.469 0.609
Br 0.629 0.629 0.152

density of states at the Fermi level = 0.424 states/eV per atom
SG = Cm, No. 8

---

So which one wins? Going from most stable to least: version three, version one, version two.